A relaxed HoAl2Cu6 crystal. Source: Alexandria, functional GGA-PBE.

## Properties
uncorrected energy	-75.0	eV per cell

CIF file:
```
data_HoAl2Cu6
_cell_length_a 3.343
_cell_length_b 6.767
_cell_length_c 12.279
_cell_angle_alpha 90.00
_cell_angle_beta 90.00
_cell_angle_gamma 90.00
_space_group_name_H-M_alt 'I m m m'
_space_group_IT_number 71
_space_group_name_Hall '-I 2 2'
loop_
_atom_site_label
_atom_site_type_symbol
_atom_site_fract_x
_atom_site_fract_y
_atom_site_fract_z
Ho1 Ho 0.000 0.000 0.000
Al1 Al 0.000 0.500 0.138
Cu1 Cu 0.000 0.170 0.500
Cu2 Cu 0.000 0.312 0.319
```

---

A relaxed LiPuPa2N5 crystal. Source: Alexandria, functional GGA-PBE.

## Properties
formation energy without anion corrections	-1164	meV per atom
uncorrected energy	-349.4	eV per cell

CIF file:
```
data_LiPuPa2N5
_cell_length_a 3.424
_cell_length_b 13.081
_cell_length_c 10.387
_cell_angle_alpha 90.00
_cell_angle_beta 90.00
_cell_angle_gamma 90.00
_space_group_name_H-M_alt 'C m c 21'
_space_group_IT_number 36
_space_group_name_Hall 'C 2c -2'
loop_
_atom_site_label
_atom_site_type_symbol
_atom_site_fract_x
_atom_site_fract_y
_atom_site_fract_z
Li1 Li 0.000 0.002 0.000
Pu1 Pu 0.000 0.311 0.519
Pa1 Pa 0.000 0.371 0.810
Pa2 Pa 0.000 0.379 0.204
N1 N 0.000 0.014 0.304
N2 N 0.000 0.150 0.540
N3 N 0.000 0.196 0.851
N4 N 0.000 0.207 0.171
N5 N 0.000 0.460 0.587
```

---

What are the total magnetic moment values for these records? In order: 0.0 14.9 Bohr magnetons per cell.